# PBE-GGA ReNiB4, relaxed
data_ReNiB4
_cell_length_a 2.929
_cell_length_b 5.411
_cell_length_c 6.269
_cell_angle_alpha 90.00
_cell_angle_beta 90.00
_cell_angle_gamma 90.00
_space_group_name_H-M_alt 'I m m m'
_space_group_IT_number 71
_space_group_name_Hall '-I 2 2'
loop_
_atom_site_label
_atom_site_fract_x
_atom_site_fract_y
_atom_site_fract_z
Re1 0.000 0.000 0.000
Ni1 0.000 0.000 0.500
B1 0.000 0.338 0.240
# energy: -88.080 eV/cell
# theoretical density: 9.6 g/cm3
# excess energy over the best structure of this formula in the dataset: 0 meV/atom